This record from Alexandria describes Ba2YTlCo2O7 at its PBEsol-relaxed geometry. The functional is meta-GGA SCAN.

Structure (CIF):
```
data_Ba2YTlCo2O7
_chemical_formula_sum 'Ba2 Y1 Tl1 Co2 O7'
_cell_length_a 3.784
_cell_length_b 12.635
_cell_length_c 3.816
_cell_angle_alpha 90.00
_cell_angle_beta 90.00
_cell_angle_gamma 90.00
_symmetry_space_group_name_H-M 'P 1'
_symmetry_Int_Tables_number 1
loop_
_symmetry_equiv_pos_as_xyz
'x,y,z'
loop_
_atom_site_label
_atom_site_type_symbol
_atom_site_fract_x
_atom_site_fract_y
_atom_site_fract_z
Ba1 Ba 0.000 0.209 0.000
Ba2 Ba 0.000 0.791 0.000
Y1 Y 0.000 0.500 0.002
Tl1 Tl 0.500 0.000 0.559
Co1 Co 0.500 0.395 0.501
Co2 Co 0.500 0.605 0.501
O1 O 0.000 0.000 0.920
O2 O 0.000 0.388 0.502
O3 O 0.000 0.612 0.502
O4 O 0.500 0.166 0.488
O5 O 0.500 0.387 0.001
O6 O 0.500 0.613 0.001
O7 O 0.500 0.834 0.488
```

Summary:
space group	Pmm2, No. 25
energy relative to the elements, uncorrected	-2105	meV per atom
VASP energy	-21.9150	eV/atom